# 1
# RbCaBeSiPdSe, optimized geometry, DFT PBE
data_RbCaBeSiPdSe
_chemical_formula_sum 'Rb2 Ca2 Be2 Si2 Pd2 Se2'
_space_group_name_H-M_alt 'C 1 m 1'
_space_group_IT_number 8
_cell_length_a 10.663
_cell_length_b 4.262
_cell_length_c 8.199
_cell_angle_alpha 90.00
_cell_angle_beta 90.99
_cell_angle_gamma 90.00
loop_
_space_group_symop_operation_xyz
'x,y,z'
'x,-y,z'
'x+1/2,y+1/2,z'
'x+1/2,-y+1/2,z'
loop_
_atom_site_label
_atom_site_type_symbol
_atom_site_fract_x
_atom_site_fract_y
_atom_site_fract_z
_atom_site_occupancy
Rb1 Rb 0.000 0.000 0.000 1
Ca1 Ca 0.286 0.000 0.432 1
Be1 Be 0.082 0.500 0.391 1
Si1 Si 0.028 0.500 0.647 1
Pd1 Pd 0.020 0.000 0.529 1
Se1 Se 0.211 0.500 0.200 1
# DOS(E_F) ... 0.12 states/eV per atom
# Energy relative to the elements, uncorrected ... -3.34 eV per formula unit
# DFT total energy ... -4.0225 eV per atom



# 2
# TmIn2Hg, optimized geometry, DFT PBE
data_TmIn2Hg
_chemical_formula_sum 'Tm3 In6 Hg3'
_space_group_name_H-M_alt 'R -3 m'
_space_group_IT_number 166
_space_group_name_Hall '-R 3 2"'
_cell_length_a 4.7772
_cell_length_b 4.7772
_cell_length_c 15.5669
_cell_angle_alpha 90.00
_cell_angle_beta 90.00
_cell_angle_gamma 120.00
loop_
_atom_site_label
_atom_site_type_symbol
_atom_site_fract_x
_atom_site_fract_y
_atom_site_fract_z
_atom_site_occupancy
Tm1 Tm 0.0000 0.0000 0.0000 1
In1 In 0.0000 0.0000 0.2360 1
Hg1 Hg 0.0000 0.0000 0.5000 1
# DOS(E_F) ... 0.49 states/eV per atom
# DFT total energy ... -2.6849 eV per atom
# DFT formation energy ... -0.49 eV per formula unit



# 3
# ErIn2Pd3, optimized geometry, DFT PBE
data_ErIn2Pd3
_chemical_formula_sum 'Er2 In4 Pd6'
_space_group_name_H-M_alt 'P -3 m 1'
_space_group_IT_number 164
_space_group_name_Hall '-P 3 2"'
_cell_length_a 4.7515
_cell_length_b 4.7515
_cell_length_c 11.5686
_cell_angle_alpha 90.00
_cell_angle_beta 90.00
_cell_angle_gamma 120.00
loop_
_atom_site_label
_atom_site_type_symbol
_atom_site_fract_x
_atom_site_fract_y
_atom_site_fract_z
_atom_site_occupancy
Er1 Er 0.3333 0.6667 0.1696 1
In1 In 0.0000 0.0000 0.0000 1
In2 In 0.0000 0.0000 0.5000 1
In3 In 0.3333 0.6667 0.6674 1
Pd1 Pd 0.0000 0.0000 0.2584 1
Pd2 Pd 0.3333 0.6667 0.4232 1
Pd3 Pd 0.3333 0.6667 0.9142 1
# DOS(E_F) ... 0.43 states/eV per atom
# DFT total energy ... -4.9936 eV per atom
# DFT formation energy ... -4.34 eV per formula unit



# 4
# SmURu2, optimized geometry, DFT PBE
data_SmURu2
_chemical_formula_sum 'Sm4 U4 Ru8'
_space_group_name_H-M_alt 'C 1 2/c 1'
_space_group_IT_number 15
_cell_length_a 7.124
_cell_length_b 9.267
_cell_length_c 5.901
_cell_angle_alpha 90.00
_cell_angle_beta 116.00
_cell_angle_gamma 90.00
loop_
_space_group_symop_operation_xyz
'x,y,z'
'-x,-y,-z'
'-x,y,-z+1/2'
'x,-y,z+1/2'
'x+1/2,y+1/2,z'
'-x+1/2,-y+1/2,-z'
'-x+1/2,y+1/2,-z+1/2'
'x+1/2,-y+1/2,z+1/2'
loop_
_atom_site_label
_atom_site_type_symbol
_atom_site_fract_x
_atom_site_fract_y
_atom_site_fract_z
_atom_site_occupancy
Sm1 Sm 0.000 0.166 0.250 1
U1 U 0.000 0.416 0.750 1
Ru1 Ru 0.230 0.115 0.851 1
# DOS(E_F) ... 1.09 states/eV per atom
# DFT total energy ... -8.9446 eV per atom
# DFT formation energy ... -1.22 eV per formula unit



# 5
# Cs2K3TlCl6, optimized geometry, DFT PBE
data_Cs2K3TlCl6
_chemical_formula_sum 'Cs4 K6 Tl2 Cl12'
_space_group_name_H-M_alt 'C 1 2/m 1'
_space_group_IT_number 12
_cell_length_a 20.497
_cell_length_b 4.673
_cell_length_c 9.424
_cell_angle_alpha 90.00
_cell_angle_beta 103.77
_cell_angle_gamma 90.00
loop_
_space_group_symop_operation_xyz
'x,y,z'
'-x,-y,-z'
'-x,y,-z'
'x,-y,z'
'x+1/2,y+1/2,z'
'-x+1/2,-y+1/2,-z'
'-x+1/2,y+1/2,-z'
'x+1/2,-y+1/2,z'
loop_
_atom_site_label
_atom_site_type_symbol
_atom_site_fract_x
_atom_site_fract_y
_atom_site_fract_z
_atom_site_occupancy
Cs1 Cs 0.166 0.000 0.330 1
K1 K 0.000 0.500 0.500 1
K2 K 0.165 0.000 0.836 1
Tl1 Tl 0.000 0.500 0.000 1
Cl1 Cl 0.006 0.000 0.751 1
Cl2 Cl 0.160 0.500 0.599 1
Cl3 Cl 0.167 0.500 0.065 1
# DOS(E_F) ... 0.00 states/eV per atom
# Energy relative to the elements, uncorrected ... -21.52 eV per formula unit
# DFT total energy ... -3.3303 eV per atom



# 6
# Ac2HoRh2, optimized geometry, DFT PBE
data_Ac2HoRh2
_chemical_formula_sum 'Ac8 Ho4 Rh8'
_space_group_name_H-M_alt 'I b a m'
_space_group_IT_number 72
_space_group_name_Hall '-I 2 2c'
_cell_length_a 8.018
_cell_length_b 11.186
_cell_length_c 6.548
_cell_angle_alpha 90.00
_cell_angle_beta 90.00
_cell_angle_gamma 90.00
loop_
_atom_site_label
_atom_site_type_symbol
_atom_site_fract_x
_atom_site_fract_y
_atom_site_fract_z
_atom_site_occupancy
Ac1 Ac 0.136 0.157 0.000 1
Ho1 Ho 0.000 0.500 0.250 1
Rh1 Rh 0.249 0.096 0.500 1
# DOS(E_F) ... 0.63 states/eV per atom
# DFT total energy ... -6.1141 eV per atom
# DFT formation energy ... -3.07 eV per formula unit



# 7
# ZrMn2Au, optimized geometry, DFT PBE
data_ZrMn2Au
_chemical_formula_sum 'Zr3 Mn6 Au3'
_space_group_name_H-M_alt 'R -3 m'
_space_group_IT_number 166
_space_group_name_Hall '-R 3 2"'
_cell_length_a 3.0297
_cell_length_b 3.0297
_cell_length_c 26.9667
_cell_angle_alpha 90.00
_cell_angle_beta 90.00
_cell_angle_gamma 120.00
loop_
_atom_site_label
_atom_site_type_symbol
_atom_site_fract_x
_atom_site_fract_y
_atom_site_fract_z
_atom_site_occupancy
Zr1 Zr 0.0000 0.0000 0.0000 1
Mn1 Mn 0.0000 0.0000 0.2469 1
Au1 Au 0.0000 0.0000 0.5000 1
# DOS(E_F) ... 1.09 states/eV per atom
# DFT total energy ... -7.2970 eV per atom
# DFT formation energy ... 0.98 eV per formula unit



# 8
# CoBr7, optimized geometry, DFT PBE
data_CoBr7
_chemical_formula_sum 'Co4 Br28'
_space_group_name_H-M_alt 'F m -3 m'
_space_group_IT_number 225
_space_group_name_Hall '-F 4 2 3'
_cell_length_a 9.333
_cell_length_b 9.333
_cell_length_c 9.333
_cell_angle_alpha 90.00
_cell_angle_beta 90.00
_cell_angle_gamma 90.00
loop_
_atom_site_label
_atom_site_type_symbol
_atom_site_fract_x
_atom_site_fract_y
_atom_site_fract_z
_atom_site_occupancy
Co1 Co 0.000 0.000 0.000 1
Br1 Br 0.000 0.000 0.500 1
Br2 Br 0.000 0.250 0.250 1
# DOS(E_F) ... 1.57 states/eV per atom
# Energy relative to the elements, uncorrected ... 6.25 eV per formula unit
# DFT total energy ... -1.5708 eV per atom



# 9
# Ho6GeTe3S2, optimized geometry, DFT PBE
data_Ho6GeTe3S2
_chemical_formula_sum 'Ho12 Ge2 Te6 S4'
_space_group_name_H-M_alt 'C 1 2/m 1'
_space_group_IT_number 12
_cell_length_a 7.095
_cell_length_b 12.278
_cell_length_c 7.407
_cell_angle_alpha 90.00
_cell_angle_beta 108.56
_cell_angle_gamma 90.00
loop_
_space_group_symop_operation_xyz
'x,y,z'
'-x,-y,-z'
'-x,y,-z'
'x,-y,z'
'x+1/2,y+1/2,z'
'-x+1/2,-y+1/2,-z'
'-x+1/2,y+1/2,-z'
'x+1/2,-y+1/2,z'
loop_
_atom_site_label
_atom_site_type_symbol
_atom_site_fract_x
_atom_site_fract_y
_atom_site_fract_z
_atom_site_occupancy
Ho1 Ho 0.234 0.000 0.209 1
Ho2 Ho 0.238 0.332 0.211 1
Ge1 Ge 0.000 0.500 0.000 1
Te1 Te 0.000 0.000 0.500 1
Te2 Te 0.000 0.334 0.500 1
S1 S 0.000 0.167 0.000 1
# DOS(E_F) ... 0.38 states/eV per atom
# Energy relative to the elements, uncorrected ... -18.02 eV per formula unit
# DFT total energy ... -5.6484 eV per atom



# 10
# RuPt2, optimized geometry, DFT PBE
data_RuPt2
_chemical_formula_sum 'Ru4 Pt8'
_space_group_name_H-M_alt 'C m c m'
_space_group_IT_number 63
_space_group_name_Hall '-C 2c 2'
_cell_length_a 3.896
_cell_length_b 11.842
_cell_length_c 3.915
_cell_angle_alpha 90.00
_cell_angle_beta 90.00
_cell_angle_gamma 90.00
loop_
_atom_site_label
_atom_site_type_symbol
_atom_site_fract_x
_atom_site_fract_y
_atom_site_fract_z
_atom_site_occupancy
Ru1 Ru 0.000 0.079 0.250 1
Pt1 Pt 0.000 0.252 0.750 1
Pt2 Pt 0.000 0.420 0.250 1
# DOS(E_F) ... 1.36 states/eV per atom
# DFT total energy ... -7.1117 eV per atom
# DFT formation energy ... 0.02 eV per formula unit



# 11
# Mg4TlTe, optimized geometry, DFT PBE
data_Mg4TlTe
_chemical_formula_sum 'Mg16 Tl4 Te4'
_space_group_name_H-M_alt 'F -4 3 m'
_space_group_IT_number 216
_space_group_name_Hall 'F -4 2 3'
_cell_length_a 8.458
_cell_length_b 8.458
_cell_length_c 8.458
_cell_angle_alpha 90.00
_cell_angle_beta 90.00
_cell_angle_gamma 90.00
loop_
_atom_site_label
_atom_site_type_symbol
_atom_site_fract_x
_atom_site_fract_y
_atom_site_fract_z
_atom_site_occupancy
Mg1 Mg 0.125 0.125 0.125 1
Tl1 Tl 0.000 0.000 0.500 1
Te1 Te 0.250 0.250 0.750 1
# DOS(E_F) ... 0.60 states/eV per atom
# Energy relative to the elements, uncorrected ... 0.02 eV per formula unit
# DFT total energy ... -1.9782 eV per atom



# 12
# Nb4V2H, optimized geometry, DFT PBE
data_Nb4V2H
_chemical_formula_sum 'Nb8 V4 H2'
_space_group_name_H-M_alt 'I 4/m m m'
_space_group_IT_number 139
_space_group_name_Hall '-I 4 2'
_cell_length_a 3.805
_cell_length_b 3.805
_cell_length_c 14.984
_cell_angle_alpha 90.00
_cell_angle_beta 90.00
_cell_angle_gamma 90.00
loop_
_atom_site_label
_atom_site_type_symbol
_atom_site_fract_x
_atom_site_fract_y
_atom_site_fract_z
_atom_site_occupancy
Nb1 Nb 0.000 0.000 0.181 1
Nb2 Nb 0.000 0.500 0.000 1
V1 V 0.000 0.000 0.360 1
H1 H 0.000 0.000 0.000 1
# DOS(E_F) ... 1.38 states/eV per atom
# DFT total energy ... -8.5313 eV per atom